LiCaEuBi | PBE-GGA | relaxed

Computed properties:
* space group: No. 216
* density: 5.56 Mg/m³
* size of the total moment: 7.182 μB per cell
* crystal system: cubic
* formation enthalpy at 0 K: -0.468 eV per atom

Cell lengths 5.5649, 5.5649, 5.5649 Å; angles 60.00, 60.00, 60.00 degrees
Closest atoms and distances in Å follow each position.
Fractional coordinates of all 4 atoms:
Eu 0.5000 0.5000 0.5000  4 Bi 3.41, 4 Li 3.41
Ca 0.0000 0.0000 0.0000  4 Bi 3.41, 4 Li 3.41
Bi 0.7500 0.7500 0.7500  4 Eu 3.41, 4 Ca 3.41
Li 0.2500 0.2500 0.2500  4 Eu 3.41, 4 Ca 3.41